No. 1
! GGA-PBE Pm5SmY4, relaxed; values from VASP
&SYSTEM
  ibrav = 0, nat = 10, ntyp = 3
/
ATOMIC_SPECIES
Y 88.91 Y.upf
Pm 145.00 Pm.upf
Sm 150.36 Sm.upf
ATOMIC_POSITIONS crystal
Y 0.324 0.778 0.644
Pm 0.162 0.918 0.326
Y 0.978 0.742 0.955
Y 0.022 0.258 0.045
Pm 0.833 0.479 0.663
Sm 0.500 0.000 0.000
Pm 0.500 0.500 0.000
Y 0.676 0.222 0.356
Pm 0.838 0.082 0.674
Pm 0.167 0.521 0.337
CELL_PARAMETERS angstrom
3.512 -0.001 -0.711
-0.373 10.946 -1.830
0.056 -0.548 9.247
! total DFT energy (no corrections)	-5.218	eV/atom
! D(E_F)	16.36	states/eV/cell
! calculated formation energy	0.215	eV per atom


No. 2
! GGA-PBE PmSm4Y10, relaxed; values from VASP
&SYSTEM
  ibrav = 0, nat = 15, ntyp = 3
/
ATOMIC_SPECIES
Y 88.91 Y.upf
Sm 150.36 Sm.upf
Pm 145.00 Pm.upf
ATOMIC_POSITIONS crystal
Y 0.151 0.300 0.899
Sm 0.799 0.600 0.801
Y 0.050 0.101 0.300
Y 0.451 0.899 0.700
Y 0.250 0.500 0.500
Pm 0.000 0.000 0.000
Y 0.849 0.700 0.101
Y 0.950 0.899 0.700
Y 0.350 0.700 0.101
Y 0.750 0.500 0.500
Y 0.549 0.101 0.300
Sm 0.399 0.801 0.400
Y 0.650 0.300 0.899
Sm 0.201 0.400 0.199
Sm 0.601 0.199 0.600
CELL_PARAMETERS angstrom
-7.468 1.698 -1.220
-5.124 -7.249 -3.376
-5.614 -1.595 7.493
! total DFT energy (no corrections)	-5.131	eV/atom
! D(E_F)	23.65	states/eV/cell
! calculated formation energy	0.753	eV per atom